## Ba6Cd5Hg (GGA-PBE)

Data for Ba6Cd5Hg after structural relaxation.

Summary:
The calculated formation energy comes out at -0.356 eV/atom. Its total DFT energy (no corrections) is -1.7242 eV/atom.

a = 6.031 Å, b = 18.096 Å, c = 8.458 Å
α = 90.00°, β = 90.00°, γ = 90.00°
Space group Cmmm (No. 65)
Asymmetric unit:
Ba (0.000, 0.000, 0.247) (multiplicity 4)
Ba (0.000, 0.335, 0.249) (multiplicity 8)
Cd (0.000, 0.167, 0.500) (multiplicity 4)
Cd (0.000, 0.169, 0.000) (multiplicity 4)
Cd (0.000, 0.500, 0.500) (multiplicity 2)
Hg (0.000, 0.500, 0.000) (multiplicity 2)